This record from Alexandria via LeMat-Bulk describes a relaxed structure of TiGeSb. The functional is PBE-GGA.

Results
The total magnetization is 0.0 μB/f.u. Its theoretical density is 6.331 Mg/m³. The calculation puts the uncorrected formation energy at 74 meV/atom. As for the density of states at the Fermi level: 5.48 states/eV/cell. Its crystal system is orthorhombic.

a = 8.263 Å, b = 8.263 Å, c = 8.263 Å
α = 155.91°, β = 146.43°, γ = 41.74°
Fractional positions:
Ti (0.160, 0.160, 0.000)
Ti (0.840, 0.840, 0.000)
Ge (0.249, 0.000, 0.249)
Ge (0.751, 0.000, 0.751)
Sb (0.345, 0.345, 0.000)
Sb (0.655, 0.655, 0.000)

---

This record from Alexandria via LeMat-Bulk describes a relaxed structure of Ti4GeSb. The functional is PBE-GGA.

Results
The total magnetization is 0.0 μB/f.u. Its theoretical density is 5.671 Mg/m³. The calculation puts the uncorrected formation energy at -212 meV/atom. As for the density of states at the Fermi level: 12.61 states/eV/cell. Its crystal system is monoclinic.

a = 7.356 Å, b = 7.356 Å, c = 6.585 Å
α = 101.67°, β = 101.67°, γ = 40.51°
Fractional positions:
Ti (0.042, 0.812, 0.569)
Ti (0.177, 0.482, 0.878)
Ti (0.188, 0.958, 0.931)
Ti (0.482, 0.177, 0.378)
Ti (0.518, 0.823, 0.622)
Ti (0.812, 0.042, 0.069)
Ti (0.823, 0.518, 0.122)
Ti (0.958, 0.188, 0.431)
Ge (0.000, 0.500, 0.500)
Ge (0.500, 0.000, 0.000)
Sb (0.381, 0.619, 0.250)
Sb (0.619, 0.381, 0.750)